A geometry-optimized Li2Tl3I4Br2 structure, computed with PBE.

Cell and atoms, written as CIF:
```
data_Li2Tl3I4Br2
_symmetry_space_group_name_H-M 'I 4/m m m'
_symmetry_Int_Tables_number 139
_symmetry_space_group_name_Hall '-I 4 2'
_cell_length_a 5.401
_cell_length_b 5.401
_cell_length_c 28.525
_cell_angle_alpha 90.00
_cell_angle_beta 90.00
_cell_angle_gamma 90.00
loop_
_atom_site_label
_atom_site_type_symbol
_atom_site_fract_x
_atom_site_fract_y
_atom_site_fract_z
Li1 Li 0.000 0.000 0.118
Tl1 Tl 0.000 0.000 0.314
Tl2 Tl 0.000 0.000 0.500
I1 I 0.000 0.500 0.085
Br1 Br 0.000 0.000 0.204
```

- Mass density: 5.17 g/cm3
- Uncorrected energy: -2.649 eV/atom
- Calculated volume: 832.0 Å³/cell
- Uncorrected formation energy: -0.79 eV/atom

***

A geometry-optimized MoRu3 structure, computed with PBE.

Cell and atoms, written as CIF:
```
data_MoRu3
_symmetry_space_group_name_H-M 'C 1 2/m 1'
_symmetry_Int_Tables_number 12
_cell_length_a 9.075
_cell_length_b 2.739
_cell_length_c 4.717
_cell_angle_alpha 90.00
_cell_angle_beta 100.19
_cell_angle_gamma 90.00
loop_
_symmetry_equiv_pos_as_xyz
'x,y,z'
'-x,-y,-z'
'-x,y,-z'
'x,-y,z'
'x+1/2,y+1/2,z'
'-x+1/2,-y+1/2,-z'
'-x+1/2,y+1/2,-z'
'x+1/2,-y+1/2,z'
loop_
_atom_site_label
_atom_site_type_symbol
_atom_site_fract_x
_atom_site_fract_y
_atom_site_fract_z
Mo1 Mo 0.000 0.000 0.000
Ru1 Ru 0.000 0.500 0.500
Ru2 Ru 0.248 0.000 0.743
```

- Energy relative to the lowest polymorph listed for this composition: 128 meV per atom
- Mass density: 11.49 g/cm3
- Uncorrected energy: -9.592 eV/atom
- Calculated volume: 115.4 Å³/cell
- ΔE_f: 7.0 kJ/mol of atoms

***

A geometry-optimized PrNd6Er3 structure, computed with PBE.

Cell and atoms, written as CIF:
```
data_PrNd6Er3
_symmetry_space_group_name_H-M 'C m c 21'
_symmetry_Int_Tables_number 36
_cell_length_a 9.827
_cell_length_b 21.474
_cell_length_c 6.500
_cell_angle_alpha 90.00
_cell_angle_beta 90.00
_cell_angle_gamma 90.00
loop_
_symmetry_equiv_pos_as_xyz
'x,y,z'
'-x,-y,z+1/2'
'-x,y,z'
'x,-y,z+1/2'
'x+1/2,y+1/2,z'
'-x+1/2,-y+1/2,z+1/2'
'-x+1/2,y+1/2,z'
'x+1/2,-y+1/2,z+1/2'
loop_
_atom_site_label
_atom_site_type_symbol
_atom_site_fract_x
_atom_site_fract_y
_atom_site_fract_z
Pr1 Pr 0.000 0.156 0.000
Nd1 Nd 0.000 0.014 0.777
Nd2 Nd 0.000 0.300 0.797
Nd3 Nd 0.174 0.282 0.322
Nd4 Nd 0.179 0.441 0.571
Er1 Er 0.000 0.419 0.092
Er2 Er 0.169 0.127 0.479
```

- Energy relative to the lowest polymorph listed for this composition: 0 meV per atom
- Mass density: 7.30 g/cm3
- Uncorrected energy: -4.582 eV/atom
- Calculated volume: 1371.6 Å³/cell
- ΔE_f: 12.1 kJ/mol of atoms

***

A geometry-optimized Gd4CoBi2 structure, computed with PBE.

Cell and atoms, written as CIF:
```
data_Gd4CoBi2
_symmetry_space_group_name_H-M 'I 4/m m m'
_symmetry_Int_Tables_number 139
_symmetry_space_group_name_Hall '-I 4 2'
_cell_length_a 4.987
_cell_length_b 4.987
_cell_length_c 16.778
_cell_angle_alpha 90.00
_cell_angle_beta 90.00
_cell_angle_gamma 90.00
loop_
_atom_site_label
_atom_site_type_symbol
_atom_site_fract_x
_atom_site_fract_y
_atom_site_fract_z
Gd1 Gd 0.000 0.000 0.167
Gd2 Gd 0.000 0.500 0.000
Co1 Co 0.000 0.000 0.000
Bi1 Bi 0.000 0.000 0.359
```

- Mass density: 8.80 g/cm3
- Uncorrected energy: -10.711 eV/atom
- Calculated volume: 417.3 Å³/cell
- ΔE_f: -52.2 kJ/mol of atoms

***

A geometry-optimized Tb5Sm2HoTh structure, computed with PBE.

Cell and atoms, written as CIF:
```
data_Tb5Sm2HoTh
_symmetry_space_group_name_H-M 'C m c 21'
_symmetry_Int_Tables_number 36
_cell_length_a 5.730
_cell_length_b 21.579
_cell_length_c 9.780
_cell_angle_alpha 90.00
_cell_angle_beta 90.00
_cell_angle_gamma 90.00
loop_
_symmetry_equiv_pos_as_xyz
'x,y,z'
'-x,-y,z+1/2'
'-x,y,z'
'x,-y,z+1/2'
'x+1/2,y+1/2,z'
'-x+1/2,-y+1/2,z+1/2'
'-x+1/2,y+1/2,z'
'x+1/2,-y+1/2,z+1/2'
loop_
_atom_site_label
_atom_site_type_symbol
_atom_site_fract_x
_atom_site_fract_y
_atom_site_fract_z
Tb1 Tb 0.000 0.015 0.000
Tb2 Tb 0.000 0.271 0.310
Tb3 Tb 0.000 0.305 0.701
Tb4 Tb 0.000 0.398 0.026
Tb5 Tb 0.000 0.470 0.727
Sm1 Sm 0.000 0.115 0.312
Sm2 Sm 0.000 0.129 0.695
Ho1 Ho 0.000 0.190 0.001
Th1 Th 0.000 0.405 0.409
```

- Mass density: 8.20 g/cm3
- Uncorrected energy: -4.794 eV/atom
- Calculated volume: 1209.2 Å³/cell
- ΔE_f: 15.4 kJ/mol of atoms

***

A geometry-optimized TlIn3Hg12 structure, computed with PBE.

Cell and atoms, written as CIF:
```
data_TlIn3Hg12
_symmetry_space_group_name_H-M 'P 4/m m m'
_symmetry_Int_Tables_number 123
_symmetry_space_group_name_Hall '-P 4 2'
_cell_length_a 5.008
_cell_length_b 5.008
_cell_length_c 17.248
_cell_angle_alpha 90.00
_cell_angle_beta 90.00
_cell_angle_gamma 90.00
loop_
_atom_site_label
_atom_site_type_symbol
_atom_site_fract_x
_atom_site_fract_y
_atom_site_fract_z
Tl1 Tl 0.000 0.000 0.000
In1 In 0.000 0.000 0.255
In2 In 0.000 0.000 0.500
Hg1 Hg 0.000 0.500 0.131
Hg2 Hg 0.000 0.500 0.377
Hg3 Hg 0.500 0.500 0.000
Hg4 Hg 0.500 0.500 0.255
Hg5 Hg 0.500 0.500 0.500
```

- Mass density: 11.35 g/cm3
- Uncorrected energy: -0.895 eV/atom
- Calculated volume: 432.6 Å³/cell
- ΔE_f: -0.7 kJ/mol of atoms